No. 1
This record from OQMD via LeMat-Bulk describes a geometry-optimized TaNiC2 structure. The functional is PBE-GGA.

Geometry as POSCAR:
```
TaNiC2
1.0
-1.449 -2.446 1.213
0.512 -1.592 -2.599
3.737 -1.418 1.605
C Ni Ta
2 1 1
Cartesian
-0.468 -2.019 -0.693
1.869 -0.709 0.802
0.000 0.000 0.000
1.400 -2.728 0.109
```

Computed properties:
final energy: -34.68 eV per formula unit
space-group type: No. 123

=====

No. 2
This record from OQMD via LeMat-Bulk describes a geometry-optimized Ho4CBr3Cl2 structure. The functional is PBE-GGA.

Geometry as POSCAR:
```
Ho4CBr3Cl2
1.0
-8.168 -2.458 -1.978
-6.200 -5.599 -2.624
0.409 -1.376 7.949
Br C Cl Ho
3 1 2 4
Cartesian
-2.284 -1.827 1.928
-6.979 -4.716 1.673
-11.675 -7.606 1.418
-7.184 -4.028 -2.301
-11.852 -6.895 -2.587
-2.107 -2.538 5.933
-9.205 -5.278 -2.382
-14.262 -8.319 -3.003
0.303 -1.114 6.350
-4.753 -4.155 5.729
```

Computed properties:
final energy: -51.51 eV per formula unit
space-group type: No. 12
distance to the lowest polymorph of the same formula: 0.04 eV/f.u.

=====

No. 3
This record from OQMD via LeMat-Bulk describes a geometry-optimized FeNi structure. The functional is PBE-GGA.

Geometry as POSCAR:
```
FeNi
1.0
-0.791 -0.580 3.339
-1.732 -1.670 -2.514
3.375 -3.730 0.152
Fe Ni
2 2
Cartesian
0.000 0.000 0.000
1.688 -1.865 0.076
-0.575 -2.239 -0.525
1.426 -3.741 1.502
```

Computed properties:
final energy: -12.77 eV per formula unit
DFT formation energy: 554 meV/atom
space-group type: No. 194